No. 1
Li4ZnIn2Ga: optimized geometry, GGA-PBE.

Properties
Calculated density, Mg/m³: 4.85
Total DFT energy (no corrections), eV per formula unit: -19.7

Unit cell a=4.5613 b=4.5613 c=6.4621 alpha=90.00 beta=90.00 gamma=90.00
Space group P-4m2 (No. 115)
Inequivalent atoms, fractional coordinates:
Li: 0.0000 0.0000 0.0000 [1 per cell]
Li: 0.0000 0.5000 0.7475 [2 per cell]
Li: 0.5000 0.5000 0.5000 [1 per cell]
Zn: 0.0000 0.0000 0.5000 [1 per cell]
In: 0.0000 0.5000 0.2560 [2 per cell]
Ga: 0.5000 0.5000 0.0000 [1 per cell]

No. 2
TbNd2Mg3InGa2: optimized geometry, GGA-PBE.

Properties
Calculated density, Mg/m³: 5.77
Total DFT energy (no corrections), eV per formula unit: -31.8
Size of the total moment, μB/f.u.: 0.0

Unit cell a=4.6187 b=12.8686 c=7.4948 alpha=90.00 beta=90.00 gamma=90.00
Space group Amm2 (No. 38)
Inequivalent atoms, fractional coordinates:
Tb: 0.0000 0.0000 0.0000 [2 per cell]
Nd: 0.0000 0.2180 0.3464 [4 per cell]
Mg: 0.5000 0.0000 0.3156 [2 per cell]
Mg: 0.5000 0.1239 0.6903 [4 per cell]
In: 0.0000 0.0000 0.5699 [2 per cell]
Ga: 0.5000 0.1640 0.0644 [4 per cell]

No. 3
NdTm2Mg3InGa2: optimized geometry, GGA-PBE.

Properties
Calculated density, Mg/m³: 6.31
Total DFT energy (no corrections), eV per formula unit: -31.2
Size of the total moment, μB/f.u.: 0.0

Unit cell a=4.5653 b=12.8089 c=7.2844 alpha=90.00 beta=90.00 gamma=90.00
Space group Amm2 (No. 38)
Inequivalent atoms, fractional coordinates:
Nd: 0.0000 0.0000 0.0000 [2 per cell]
Tm: 0.0000 0.2192 0.6572 [4 per cell]
Mg: 0.5000 0.0000 0.6888 [2 per cell]
Mg: 0.5000 0.1247 0.3158 [4 per cell]
In: 0.0000 0.0000 0.4479 [2 per cell]
Ga: 0.5000 0.1708 0.9385 [4 per cell]

No. 4
MgInGaNi: optimized geometry, GGA-PBE.

Properties
Calculated density, Mg/m³: 6.51
Total DFT energy (no corrections), eV per formula unit: -12.9
Size of the total moment, μB/f.u.: 0.0

Unit cell a=6.4880 b=6.4880 c=6.4880 alpha=90.00 beta=90.00 gamma=90.00
Space group F-43m (No. 216)
Inequivalent atoms, fractional coordinates:
Mg: 0.0000 0.0000 0.0000 [4 per cell]
In: 0.2500 0.2500 0.7500 [4 per cell]
Ga: 0.2500 0.2500 0.2500 [4 per cell]
Ni: 0.0000 0.0000 0.5000 [4 per cell]

No. 5
MgInGaNi: optimized geometry, GGA-PBE.

Properties
Calculated density, Mg/m³: 6.35
Total DFT energy (no corrections), eV per formula unit: -12.9
Size of the total moment, μB/f.u.: 0.0

Unit cell a=6.5422 b=6.5422 c=6.5422 alpha=90.00 beta=90.00 gamma=90.00
Space group F-43m (No. 216)
Inequivalent atoms, fractional coordinates:
Mg: 0.0000 0.0000 0.0000 [4 per cell]
In: 0.0000 0.0000 0.5000 [4 per cell]
Ga: 0.2500 0.2500 0.7500 [4 per cell]
Ni: 0.2500 0.2500 0.2500 [4 per cell]

No. 6
MgInGaPd: optimized geometry, GGA-PBE.

Properties
Calculated density, Mg/m³: 6.97
Total DFT energy (no corrections), eV per formula unit: -13.6

Unit cell a=6.6964 b=6.6964 c=6.6964 alpha=90.00 beta=90.00 gamma=90.00
Space group F-43m (No. 216)
Inequivalent atoms, fractional coordinates:
Mg: 0.0000 0.0000 0.0000 [4 per cell]
In: 0.0000 0.0000 0.5000 [4 per cell]
Ga: 0.2500 0.2500 0.7500 [4 per cell]
Pd: 0.2500 0.2500 0.2500 [4 per cell]

> The lowest calculated density belongs to which entry?

Li4ZnIn2Ga

Please write out number 3 again, unchanged.
NdTm2Mg3InGa2: optimized geometry, GGA-PBE.

Properties
Calculated density, Mg/m³: 6.31
Total DFT energy (no corrections), eV per formula unit: -31.2
Size of the total moment, μB/f.u.: 0.0

Unit cell a=4.5653 b=12.8089 c=7.2844 alpha=90.00 beta=90.00 gamma=90.00
Space group Amm2 (No. 38)
Inequivalent atoms, fractional coordinates:
Nd: 0.0000 0.0000 0.0000 [2 per cell]
Tm: 0.0000 0.2192 0.6572 [4 per cell]
Mg: 0.5000 0.0000 0.6888 [2 per cell]
Mg: 0.5000 0.1247 0.3158 [4 per cell]
In: 0.0000 0.0000 0.4479 [2 per cell]
Ga: 0.5000 0.1708 0.9385 [4 per cell]

Copy entry 1 word for word.
Li4ZnIn2Ga: optimized geometry, GGA-PBE.

Properties
Calculated density, Mg/m³: 4.85
Total DFT energy (no corrections), eV per formula unit: -19.7

Unit cell a=4.5613 b=4.5613 c=6.4621 alpha=90.00 beta=90.00 gamma=90.00
Space group P-4m2 (No. 115)
Inequivalent atoms, fractional coordinates:
Li: 0.0000 0.0000 0.0000 [1 per cell]
Li: 0.0000 0.5000 0.7475 [2 per cell]
Li: 0.5000 0.5000 0.5000 [1 per cell]
Zn: 0.0000 0.0000 0.5000 [1 per cell]
In: 0.0000 0.5000 0.2560 [2 per cell]
Ga: 0.5000 0.5000 0.0000 [1 per cell]